Entry 1:
Compound: MgCo2As
Source: Alexandria via LeMat-Bulk
Functional: PBEsol
Structure: relaxed

Values from the calculation:
- Formation enthalpy at 0 K: -0.05 eV/f.u.

a b c (Å): 8.672 2.947 4.115
angles (deg): 90.00 107.70 90.00
Space group Cm (No. 8)
Inequivalent atoms, fractional coordinates:
Mg (0.000, 0.000, 0.000) x2
Co (0.249, 0.000, 0.838) x2
Co (0.492, 0.000, 0.486) x2
As (0.265, 0.500, 0.367) x2

Entry 2:
Compound: AlAu3Cl
Source: Alexandria via LeMat-Bulk
Functional: PBEsol
Structure: relaxed

Values from the calculation:
- ΔE_f (raw): 512 meV/atom

a b c (Å): 4.803 4.803 4.803
angles (deg): 90.00 90.00 90.00
Space group Pm-3m (No. 221)
Inequivalent atoms, fractional coordinates:
Al (0.000, 0.000, 0.000) x1
Au (0.000, 0.000, 0.500) x3
Cl (0.500, 0.500, 0.500) x1

Entry 3:
Compound: Sc5Fe
Source: Alexandria via LeMat-Bulk
Functional: PBEsol
Structure: relaxed

Values from the calculation:
- Formation enthalpy at 0 K: -0.25 eV/f.u.

a b c (Å): 10.976 3.201 7.578
angles (deg): 90.00 111.90 90.00
Space group C2/m (No. 12)
Inequivalent atoms, fractional coordinates:
Sc (0.000, 0.000, 0.000) x2
Sc (0.132, 0.500, 0.370) x4
Sc (0.164, 0.500, 0.783) x4
Fe (0.000, 0.000, 0.500) x2

Entry 4:
Compound: YPtAu2
Source: Alexandria via LeMat-Bulk
Functional: PBEsol
Structure: relaxed

Values from the calculation:
- Formation enthalpy at 0 K: -3.07 eV/f.u.

a b c (Å): 4.107 4.107 8.579
angles (deg): 90.00 90.00 90.00
Space group I-4m2 (No. 119)
Inequivalent atoms, fractional coordinates:
Y (0.000, 0.000, 0.000) x2
Pt (0.000, 0.500, 0.250) x2
Au (0.000, 0.000, 0.500) x2
Au (0.000, 0.500, 0.750) x2

Entry 5:
Compound: NdFeNi4
Source: Alexandria via LeMat-Bulk
Functional: PBEsol
Structure: relaxed

Values from the calculation:
- Formation enthalpy at 0 K: -1.10 eV/f.u.

a b c (Å): 4.9290 4.9290 3.8908
angles (deg): 90.00 90.00 120.00
Space group P-6m2 (No. 187)
Inequivalent atoms, fractional coordinates:
Nd (0.0000, 0.0000, 0.0000) x1
Fe (0.3333, 0.6667, 0.0000) x1
Ni (0.5003, 0.0006, 0.5000) x3
Ni (0.6667, 0.3333, 0.0000) x1

Entry 6:
Compound: BaPbSeN2
Source: Alexandria via LeMat-Bulk
Functional: PBEsol
Structure: relaxed

Values from the calculation:
- ΔE_f (raw): 1214 meV/atom

a b c (Å): 4.603 4.603 6.360
angles (deg): 90.00 90.00 90.00
Space group P4/mmm (No. 123)
Inequivalent atoms, fractional coordinates:
Ba (0.000, 0.000, 0.000) x1
Pb (0.500, 0.500, 0.500) x1
Se (0.000, 0.000, 0.500) x1
N (0.000, 0.500, 0.000) x2

Entry 7:
Compound: KCeMo2O8
Source: Alexandria via LeMat-Bulk
Functional: PBEsol
Structure: relaxed

Values from the calculation:
- ΔE_f (raw): -2381 meV/atom

a b c (Å): 5.359 5.359 11.759
angles (deg): 90.00 90.00 90.00
Space group I-4 (No. 82)
Inequivalent atoms, fractional coordinates:
K (0.000, 0.000, 0.000) x2
Ce (0.000, 0.500, 0.750) x2
Mo (0.000, 0.000, 0.500) x2
Mo (0.000, 0.500, 0.250) x2
O (0.127, 0.762, 0.588) x8
O (0.161, 0.264, 0.173) x8

Entry 8:
Compound: LiLaIn
Source: Alexandria via LeMat-Bulk
Functional: PBEsol
Structure: relaxed

Values from the calculation:
- Formation enthalpy at 0 K: -0.72 eV/f.u.

a b c (Å): 3.263 4.966 9.506
angles (deg): 90.00 90.00 90.00
Space group Imm2 (No. 44)
Inequivalent atoms, fractional coordinates:
Li (0.000, 0.000, 0.000) x2
La (0.000, 0.000, 0.322) x2
In (0.000, 0.000, 0.664) x2

Entry 9:
Compound: Ti2Mn2Pb
Source: Alexandria via LeMat-Bulk
Functional: PBEsol
Structure: relaxed

Values from the calculation:
- Formation enthalpy at 0 K: 1.26 eV/f.u.

a b c (Å): 3.146 3.146 16.538
angles (deg): 90.00 90.00 90.00
Space group I4/mmm (No. 139)
Inequivalent atoms, fractional coordinates:
Ti (0.000, 0.000, 0.126) x4
Mn (0.000, 0.500, 0.250) x4
Pb (0.000, 0.000, 0.500) x2

Entry 10:
Compound: CdGa3O
Source: Alexandria via LeMat-Bulk
Functional: PBEsol
Structure: relaxed

Values from the calculation:
- ΔE_f (raw): 794 meV/atom

a b c (Å): 4.953 4.953 4.953
angles (deg): 90.00 90.00 90.00
Space group Pm-3m (No. 221)
Inequivalent atoms, fractional coordinates:
Cd (0.000, 0.000, 0.000) x1
Ga (0.000, 0.000, 0.500) x3
O (0.500, 0.500, 0.500) x1

Entry 11:
Compound: ZrMoOs
Source: Alexandria via LeMat-Bulk
Functional: PBEsol
Structure: relaxed

Values from the calculation:
- Formation enthalpy at 0 K: 0.89 eV/f.u.

a b c (Å): 6.155 6.155 6.155
angles (deg): 90.00 90.00 90.00
Space group F-43m (No. 216)
Inequivalent atoms, fractional coordinates:
Zr (0.000, 0.000, 0.000) x4
Mo (0.000, 0.000, 0.500) x4
Os (0.250, 0.250, 0.250) x4

Entry 12:
Compound: BaZn2Sb
Source: Alexandria via LeMat-Bulk
Functional: PBEsol
Structure: relaxed

Values from the calculation:
- ΔE_f (raw): -128 meV/atom

a b c (Å): 4.710 4.710 4.711
angles (deg): 90.00 90.00 90.00
Space group P4/mmm (No. 123)
Inequivalent atoms, fractional coordinates:
Ba (0.000, 0.000, 0.000) x1
Zn (0.000, 0.500, 0.500) x2
Sb (0.500, 0.500, 0.000) x1

> Number 11 is which compound?

ZrMoOs